A:
# PBE Lu2InRh, relaxed
data_Lu2InRh
_chemical_formula_sum 'Lu2 In1 Rh1'
_space_group_name_H-M_alt 'P 1'
_space_group_IT_number 1
_cell_length_a 3.459
_cell_length_b 3.459
_cell_length_c 7.387
_cell_angle_alpha 90.00
_cell_angle_beta 90.00
_cell_angle_gamma 90.00
loop_
_space_group_symop_operation_xyz
'x,y,z'
loop_
_atom_site_label
_atom_site_fract_x
_atom_site_fract_y
_atom_site_fract_z
Lu1 0.000 0.000 0.216
Lu2 0.000 0.000 0.784
In1 0.500 0.500 0.500
Rh1 0.500 0.500 0.000
# Density of states at the Fermi level: 0.3132 states/eV/atom
# SG: P4/mmm (123)



B:
# PBE Lu2InRh, relaxed
data_Lu2InRh
_chemical_formula_sum 'Lu2 In1 Rh1'
_space_group_name_H-M_alt 'P 1'
_space_group_IT_number 1
_cell_length_a 8.788
_cell_length_b 8.788
_cell_length_c 8.788
_cell_angle_alpha 23.95
_cell_angle_beta 23.95
_cell_angle_gamma 23.95
loop_
_space_group_symop_operation_xyz
'x,y,z'
loop_
_atom_site_label
_atom_site_fract_x
_atom_site_fract_y
_atom_site_fract_z
Lu1 0.234 0.234 0.234
Lu2 0.766 0.766 0.766
In1 0.000 0.000 0.000
Rh1 0.500 0.500 0.500
# Density of states at the Fermi level: 0.4123 states/eV/atom
# SG: R-3m (166)



C:
# PBE Lu2InRh, relaxed
data_Lu2InRh
_chemical_formula_sum 'Lu2 In1 Rh1'
_space_group_name_H-M_alt 'P 1'
_space_group_IT_number 1
_cell_length_a 4.990
_cell_length_b 4.990
_cell_length_c 4.990
_cell_angle_alpha 60.00
_cell_angle_beta 60.00
_cell_angle_gamma 60.00
loop_
_space_group_symop_operation_xyz
'x,y,z'
loop_
_atom_site_label
_atom_site_fract_x
_atom_site_fract_y
_atom_site_fract_z
Lu1 0.250 0.250 0.250
Lu2 0.750 0.750 0.750
In1 0.000 0.000 0.000
Rh1 0.500 0.500 0.500
# Density of states at the Fermi level: 0.3822 states/eV/atom
# SG: Fm-3m (225)



Energy relative to the most stable one, in eV/atom: A 0.000; B 0.181; C 0.125



A:
# PBE Lu2InRu, relaxed
data_Lu2InRu
_chemical_formula_sum 'Lu2 In1 Ru1'
_space_group_name_H-M_alt 'P 1'
_space_group_IT_number 1
_cell_length_a 9.307
_cell_length_b 9.307
_cell_length_c 9.307
_cell_angle_alpha 21.32
_cell_angle_beta 21.32
_cell_angle_gamma 21.32
loop_
_space_group_symop_operation_xyz
'x,y,z'
loop_
_atom_site_label
_atom_site_fract_x
_atom_site_fract_y
_atom_site_fract_z
Lu1 0.237 0.237 0.237
Lu2 0.763 0.763 0.763
In1 0.000 0.000 0.000
Ru1 0.500 0.500 0.500
# Density of states at the Fermi level: 0.6408 states/eV/atom
# SG: R-3m (166)



B:
# PBE Lu2InRu, relaxed
data_Lu2InRu
_chemical_formula_sum 'Lu2 In1 Ru1'
_space_group_name_H-M_alt 'P 1'
_space_group_IT_number 1
_cell_length_a 3.389
_cell_length_b 3.389
_cell_length_c 7.659
_cell_angle_alpha 90.00
_cell_angle_beta 90.00
_cell_angle_gamma 90.00
loop_
_space_group_symop_operation_xyz
'x,y,z'
loop_
_atom_site_label
_atom_site_fract_x
_atom_site_fract_y
_atom_site_fract_z
Lu1 0.000 0.000 0.210
Lu2 0.000 0.000 0.790
In1 0.500 0.500 0.500
Ru1 0.500 0.500 0.000
# Density of states at the Fermi level: 0.6637 states/eV/atom
# SG: P4/mmm (123)



C:
# PBE Lu2InRu, relaxed
data_Lu2InRu
_chemical_formula_sum 'Lu2 In1 Ru1'
_space_group_name_H-M_alt 'P 1'
_space_group_IT_number 1
_cell_length_a 4.958
_cell_length_b 4.958
_cell_length_c 4.958
_cell_angle_alpha 60.00
_cell_angle_beta 60.00
_cell_angle_gamma 60.00
loop_
_space_group_symop_operation_xyz
'x,y,z'
loop_
_atom_site_label
_atom_site_fract_x
_atom_site_fract_y
_atom_site_fract_z
Lu1 0.250 0.250 0.250
Lu2 0.750 0.750 0.750
In1 0.000 0.000 0.000
Ru1 0.500 0.500 0.500
# Density of states at the Fermi level: 0.8196 states/eV/atom
# SG: Fm-3m (225)



Energy relative to the most stable one, in eV/atom: A 0.251; B 0.000; C 0.172



A:
# PBE LuIn2Sb, relaxed
data_LuIn2Sb
_chemical_formula_sum 'Lu1 In2 Sb1'
_space_group_name_H-M_alt 'P 1'
_space_group_IT_number 1
_cell_length_a 11.901
_cell_length_b 11.901
_cell_length_c 11.901
_cell_angle_alpha 16.43
_cell_angle_beta 16.43
_cell_angle_gamma 16.43
loop_
_space_group_symop_operation_xyz
'x,y,z'
loop_
_atom_site_label
_atom_site_fract_x
_atom_site_fract_y
_atom_site_fract_z
Lu1 0.000 0.000 0.000
In1 0.089 0.089 0.089
In2 0.911 0.911 0.911
Sb1 0.500 0.500 0.500
# Density of states at the Fermi level: 0.9773 states/eV/atom
# SG: R-3m (166)



B:
# PBE LuIn2Sb, relaxed
data_LuIn2Sb
_chemical_formula_sum 'Lu1 In2 Sb1'
_space_group_name_H-M_alt 'P 1'
_space_group_IT_number 1
_cell_length_a 4.492
_cell_length_b 4.492
_cell_length_c 5.060
_cell_angle_alpha 90.00
_cell_angle_beta 90.00
_cell_angle_gamma 90.00
loop_
_space_group_symop_operation_xyz
'x,y,z'
loop_
_atom_site_label
_atom_site_fract_x
_atom_site_fract_y
_atom_site_fract_z
Lu1 0.000 0.000 0.000
In1 0.000 0.500 0.500
In2 0.500 0.000 0.500
Sb1 0.500 0.500 0.000
# Density of states at the Fermi level: 0.4733 states/eV/atom
# SG: P4/mmm (123)



Energy relative to the most stable one, in eV/atom: A 0.516; B 0.000